# 1
The following is a PBE calculation of GaCuF2 after structural relaxation, from Alexandria via LeMat-Bulk.

The space group is I-42d (No. 122) and the conventional cell measures 4.430, 4.430 and 12.790 Å, with angles of 90.00, 90.00 and 90.00 degrees. The inequivalent atoms are Ga at (0.000, 0.000, 0.000), Cu at (0.000, 0.000, 0.500) and F at (0.182, 0.250, 0.625).

The uncorrected formation energy is -1171 meV/atom. The crystal system is tetragonal.

# 2
The following is a PBE calculation of LaCeHgOs after structural relaxation, from Alexandria via LeMat-Bulk.

The space group is R3m (No. 160, hexagonal axes) and the conventional cell measures 4.1511, 4.1511 and 23.1935 Å, with angles of 90.00, 90.00 and 120.00 degrees. The inequivalent atoms are La at (0.0000, 0.0000, 0.0000), Ce at (0.0000, 0.0000, 0.2039), Hg at (0.0000, 0.0000, 0.7723) and Os at (0.0000, 0.0000, 0.5951).

The crystal system is trigonal. The calculation puts the formation energy at -0.244 eV per atom.